LiMgCd2O4: optimized geometry, GGA-PBE.

Cell and atoms, written as CIF:
```
data_LiMgCd2O4
_cell_length_a 5.496
_cell_length_b 3.209
_cell_length_c 5.593
_cell_angle_alpha 90.00
_cell_angle_beta 109.60
_cell_angle_gamma 90.00
_space_group_name_H-M_alt 'P 1 2/m 1'
_space_group_IT_number 10
loop_
_space_group_symop_operation_xyz
'x,y,z'
'-x,-y,-z'
'-x,y,-z'
'x,-y,z'
loop_
_atom_site_label
_atom_site_fract_x
_atom_site_fract_y
_atom_site_fract_z
Li1 0.000 0.000 0.000
Mg1 0.000 0.500 0.500
Cd1 0.500 0.000 0.500
Cd2 0.500 0.500 0.000
O1 0.225 0.000 0.730
O2 0.230 0.500 0.256
```

Properties
- Calculated volume: 11.61 Å³/atom
- DFT total energy: -4.574 eV per atom